# CaCrBi

An optimized crystal structure of CaCrBi (PBE, Alexandria).

Calculated values
DFT total energy: -62.81 eV/cell
Energy of formation from the pure elements: -66 meV/atom
Size of the total moment: 0.6 Bohr magnetons per cell

abc: 18.203 4.466 4.068
angles: 90.00 102.85 90.00
Space group Cm (No. 8)
Unique sites:
Ca  0.000  0.000  0.000 [2 per cell]
Ca  0.200  0.000  0.202 [2 per cell]
Cr  0.362  0.000  0.863 [2 per cell]
Cr  0.440  0.000  0.441 [2 per cell]
Bi  0.101  0.500  0.601 [2 per cell]
Bi  0.340  0.500  0.342 [2 per cell]